(1)
ReAgW2: relaxed, PBE.

Computed properties:
As for the space group: Cm. Its density of states at the Fermi level is 3.04 states/eV per cell. The value obtained for the energy above the most stable polymorph in this dataset is 182 meV/atom. As for the density: 17.057 Mg/m³. For the energy of formation, the calculation gives 0.535 eV/atom.

Lattice parameters (Å, degrees): 4.899 4.899 5.083 97.31 97.31 32.19
Positions (direct):
Re 0.000 0.000 0.000
Ag 0.751 0.751 0.257
W 0.252 0.252 0.761
W 0.503 0.503 0.500

(2)
ReAgW2: relaxed, PBE.

Computed properties:
As for the space group: P2/m. Its density of states at the Fermi level is 2.05 states/eV per cell. The value obtained for the energy above the most stable polymorph in this dataset is 100 meV/atom. As for the density: 17.020 Mg/m³. For the energy of formation, the calculation gives 0.453 eV/atom.

Lattice parameters (Å, degrees): 2.715 4.324 5.576 90.00 99.57 90.00
Positions (direct):
Re 0.000 0.000 0.000
Ag 0.000 0.000 0.500
W 0.453 0.500 0.236
W 0.547 0.500 0.764